1.
! PBE ZnIr3Pb, relaxed; values from VASP
&SYSTEM
  ibrav = 0, nat = 5, ntyp = 3
/
ATOMIC_SPECIES
Zn 65.41 Zn.upf
Ir 192.22 Ir.upf
Pb 207.20 Pb.upf
CELL_PARAMETERS angstrom
-3.039 -1.518 3.639
3.018 -3.853 0.912
2.538 2.763 3.272
ATOMIC_POSITIONS crystal
Zn 0.500 0.500 0.500
Ir 0.000 0.000 0.500
Ir 0.500 0.000 0.000
Ir 0.000 0.500 0.000
Pb 0.000 0.000 0.000
! - energy above the lowest structure with this stoichiometry (meV per atom) = 953
! - energy relative to the elements (eV/atom) = 2.171
! - theoretical density (g/cm3) = 11.4



2.
! PBE TcHg4, relaxed; values from VASP
&SYSTEM
  ibrav = 0, nat = 5, ntyp = 2
/
ATOMIC_SPECIES
Hg 200.59 Hg.upf
Tc 98.00 Tc.upf
CELL_PARAMETERS angstrom
5.414 0.000 0.000
0.000 5.414 0.000
0.000 0.000 5.414
ATOMIC_POSITIONS crystal
Hg 0.000 0.000 0.000
Hg 0.500 0.000 0.500
Hg 0.000 0.500 0.500
Hg 0.500 0.500 0.000
Tc 0.500 0.500 0.500
! - energy above the lowest structure with this stoichiometry (meV per atom) = 201
! - energy relative to the elements (eV/atom) = 0.623
! - theoretical density (g/cm3) = 9.4



3.
! PBE Tm12Pt2Pb5, relaxed; values from VASP
&SYSTEM
  ibrav = 0, nat = 19, ntyp = 3
/
ATOMIC_SPECIES
Pb 207.20 Pb.upf
Tm 168.93 Tm.upf
Pt 195.08 Pt.upf
CELL_PARAMETERS angstrom
7.501 0.000 0.000
-3.750 8.471 0.374
0.000 -2.573 9.172
ATOMIC_POSITIONS crystal
Pb 0.000 0.000 0.500
Pb 0.291 0.582 0.638
Pb 0.314 0.628 0.160
Pb 0.709 0.418 0.362
Pb 0.686 0.372 0.840
Tm 0.404 0.288 0.570
Tm 0.090 0.679 0.905
Tm 0.884 0.288 0.570
Tm 0.116 0.712 0.430
Tm 0.596 0.712 0.430
Tm 0.510 0.020 0.263
Tm 0.910 0.321 0.095
Tm 0.490 0.980 0.737
Tm 0.987 0.975 0.166
Tm 0.013 0.025 0.834
Tm 0.410 0.321 0.095
Tm 0.590 0.679 0.905
Pt 0.303 0.000 0.000
Pt 0.697 0.000 0.000
! - energy relative to the elements (eV/atom) = -0.402
! - theoretical density (g/cm3) = 9.7